First-principles (PBE-GGA) data for a geometry-optimized ZnCoAgMo structure, as listed in the Open Quantum Materials Database.

Cell lengths 4.337, 4.337, 4.337 Å; angles 60.00, 60.00, 60.00 degrees
Element x y z (fractional)
Co (0.750, 0.750, 0.750)
Ag (0.250, 0.250, 0.250)
Mo (0.500, 0.500, 0.500)
Zn (0.000, 0.000, 0.000)

Computed properties:
* space group: F-43m
* formation enthalpy at 0 K: 411 meV/atom
* magnetic moment: 0.0 Bohr magnetons per cell
* offset from the most stable computed form: 0.000 eV per formula unit
* calculated total energy: -5.100 eV per atom